1.
This record from Alexandria via LeMat-Bulk describes TbPuSc4 after structural relaxation. The functional is PBE-GGA.

Properties
Final energy (eV/atom): -7.147
Calculated volume (Å³/f.u.): 159.03
DFT formation energy (eV/atom): 0.235
Magnetic moment (μB/cell): 12.7

a = 6.213 Å, b = 8.523 Å, c = 6.006 Å
α = 90.00°, β = 90.06°, γ = 90.00°
Space group P2_1/c (No. 14)
Asymmetric unit:
Tb  0.000  0.000  0.000
Pu  0.500  0.000  0.000
Sc  0.270  0.119  0.500
Sc  0.274  0.749  0.249

***

2.
This record from Alexandria via LeMat-Bulk describes SrY2BiC after structural relaxation. The functional is PBE-GGA.

Properties
Final energy (eV/atom): -5.981
Calculated volume (Å³/f.u.): 131.80
DFT formation energy (eV/atom): -0.438
Magnetic moment (μB/cell): 0.0

a = 4.939 Å, b = 4.939 Å, c = 5.403 Å
α = 90.00°, β = 90.00°, γ = 90.00°
Space group P4/mmm (No. 123)
Asymmetric unit:
Sr  0.000  0.000  0.000
Y  0.000  0.500  0.500
Bi  0.500  0.500  0.000
C  0.000  0.000  0.500

***

3.
This record from Alexandria via LeMat-Bulk describes Tb2PrTe4 after structural relaxation. The functional is PBE-GGA.

Properties
Final energy (eV/atom): -5.202
Calculated volume (Å³/f.u.): 235.34
Formation energy (no corrections) (eV/atom): -1.401
Magnetic moment (μB/cell): 0.0

a = 4.324 Å, b = 14.437 Å, c = 15.079 Å
α = 90.00°, β = 90.00°, γ = 90.00°
Space group Cmcm (No. 63)
Asymmetric unit:
Tb  0.000  0.131  0.068
Pr  0.000  0.375  0.250
Te  0.000  0.040  0.250
Te  0.000  0.224  0.620
Te  0.000  0.500  0.000

***

4.
This record from Alexandria via LeMat-Bulk describes Pr3Ho2TaN6 after structural relaxation. The functional is PBE-GGA.

Properties
Final energy (eV/atom): -8.522
Calculated volume (Å³/f.u.): 179.83
Formation energy (no corrections) (eV/atom): -1.414
Magnetic moment (μB/cell): 0.0

a = 6.002 Å, b = 10.387 Å, c = 6.104 Å
α = 90.00°, β = 109.06°, γ = 90.00°
Space group C2/m (No. 12)
Asymmetric unit:
Pr  0.000  0.000  0.000
Pr  0.000  0.333  0.000
Ho  0.000  0.167  0.500
Ta  0.000  0.500  0.500
N  0.225  0.347  0.713
N  0.235  0.500  0.280

***

5.
This record from Alexandria via LeMat-Bulk describes PaBePd after structural relaxation. The functional is PBE-GGA.

Properties
Final energy (eV/atom): -6.198
Calculated volume (Å³/f.u.): 51.37
DFT formation energy (eV/atom): -0.060
Magnetic moment (μB/cell): 0.0

a = 3.0357 Å, b = 3.0357 Å, c = 19.3089 Å
α = 90.00°, β = 90.00°, γ = 120.00°
Space group R3m (No. 160, hexagonal axes)
Asymmetric unit:
Pa  0.0000  0.0000  0.0000
Be  0.0000  0.0000  0.7882
Pd  0.0000  0.0000  0.1982

***

6.
This record from Alexandria via LeMat-Bulk describes Nd5SnRh4 after structural relaxation. The functional is PBE-GGA.

Properties
Final energy (eV/atom): -6.293
Calculated volume (Å³/f.u.): 252.36
DFT formation energy (eV/atom): -0.568
Magnetic moment (μB/cell): 0.0

a = 14.789 Å, b = 4.862 Å, c = 7.038 Å
α = 90.00°, β = 94.17°, γ = 90.00°
Space group C2/m (No. 12)
Asymmetric unit:
Nd  0.000  0.000  0.000
Nd  0.158  0.500  0.557
Nd  0.172  0.500  0.063
Sn  0.000  0.000  0.500
Rh  0.002  0.500  0.242
Rh  0.153  0.000  0.285